# 1
A relaxed Be3Tl crystal, computed with GGA-PBEsol.

abc: 2.986 3.921 4.859
angles: 90.00 105.40 90.00
Positions (direct):
Be1 0.308 0.000 0.174
Be2 0.692 0.000 0.826
Be3 0.000 0.500 0.000
Tl1 0.500 0.500 0.500

Values from the calculation:
Its density of states at the Fermi level is 1.037 states/eV per cell. The offset from the most stable computed form comes out at 0.087 eV per atom. As for the raw total energy: -12.24 eV per formula unit.


# 2
A relaxed Sc2ReTc crystal, computed with GGA-PBEsol.

abc: 2.835 2.835 8.738
angles: 90.00 90.00 111.65
Positions (direct):
Sc1 0.000 0.000 0.255
Sc2 0.000 0.000 0.745
Tc1 0.500 0.500 0.500
Re1 0.500 0.500 0.000

Values from the calculation:
Its density of states at the Fermi level is 3.161 states/eV per cell. The offset from the most stable computed form comes out at 0.000 eV per atom. As for the raw total energy: -37.76 eV per formula unit.


# 3
A relaxed Dy5Ir3 crystal, computed with GGA-PBEsol.

abc: 6.248 10.729 10.729
angles: 90.00 90.00 90.00
Positions (direct):
Dy1 0.623 0.912 0.291
Dy2 0.377 0.588 0.209
Dy3 0.877 0.588 0.791
Dy4 0.377 0.291 0.088
Dy5 0.877 0.291 0.912
Dy6 0.000 0.500 0.500
Dy7 0.000 0.000 0.000
Dy8 0.500 0.500 0.500
Dy9 0.377 0.709 0.912
Dy10 0.877 0.412 0.209
Dy11 0.377 0.412 0.791
Dy12 0.877 0.709 0.088
Dy13 0.123 0.088 0.291
Dy14 0.623 0.791 0.588
Dy15 0.623 0.209 0.412
Dy16 0.123 0.912 0.709
Dy17 0.500 0.000 0.000
Dy18 0.123 0.791 0.412
Dy19 0.623 0.088 0.709
Dy20 0.123 0.209 0.588
Ir1 0.250 0.846 0.154
Ir2 0.250 0.346 0.346
Ir3 0.750 0.654 0.346
Ir4 0.377 0.000 0.500
Ir5 0.877 0.000 0.500
Ir6 0.750 0.346 0.654
Ir7 0.123 0.500 0.000
Ir8 0.750 0.846 0.846
Ir9 0.623 0.500 0.000
Ir10 0.250 0.154 0.846
Ir11 0.750 0.154 0.154
Ir12 0.250 0.654 0.654

Values from the calculation:
Its density of states at the Fermi level is 17.595 states/eV per cell. As for the raw total energy: -60.59 eV per formula unit.


Number 1: energy of formation from the pure elements 2.39 eV/f.u.. Number 2: energy of formation from the pure elements 0.05 eV/f.u.. Number 3: energy of formation from the pure elements -6.22 eV/f.u..